{"formula": "Mn2AlTe", "functional": "PBE", "state": "optimized geometry", "total_magnetization_mub_per_fu": 5.60, "raw_formation_energy_mev_per_atom": 180.8, "vol_a3_per_cell": 66.8, "crystal_system": "monoclinic", "spacegroup": "No. 8", "relative_energy_ev_per_atom": 0.068, "lattice_angstrom": [[-3.944, 3.079, -0.399], [-3.786, 1.559, 2.904], [1.395, 3.474, 1.533]], "species": ["Te", "Al", "Mn", "Mn"], "fractional_positions": [[0.505, 0.505, 0.556], [0.251, 0.251, 0.182], [0.973, 0.973, 0.074], [0.771, 0.771, 0.688]]}


{"formula": "BaCaCl2", "functional": "PBE", "state": "optimized geometry", "total_magnetization_mub_per_fu": 0.00, "raw_formation_energy_mev_per_atom": -1363.5, "vol_a3_per_cell": 113.3, "crystal_system": "tetragonal", "spacegroup": "No. 123", "relative_energy_ev_per_atom": 0.332, "lattice_angstrom": [[-4.275, 3.017, 0.327], [-0.957, -1.879, 4.800], [2.264, 3.032, 1.638]], "species": ["Ca", "Ba", "Cl", "Cl"], "fractional_positions": [[0.000, 0.500, 0.500], [0.500, 0.000, 0.500], [0.000, 0.000, 0.000], [0.500, 0.500, 0.000]]}


{"formula": "Cs3BaCa2I9", "functional": "PBE", "state": "optimized geometry", "total_magnetization_mub_per_fu": 0.00, "raw_formation_energy_mev_per_atom": -1605.4, "vol_a3_per_cell": 791.1, "crystal_system": "trigonal", "spacegroup": "No. 164", "lattice_angstrom": [[-6.729, 3.712, 4.568], [5.162, -6.183, 3.880], [7.041, 8.204, 3.705]], "species": ["Cs", "Cs", "Cs", "Ba", "Ca", "Ca", "I", "I", "I", "I", "I", "I", "I", "I", "I"], "fractional_positions": [[0.333, 0.667, 0.714], [0.000, 0.000, 0.000], [0.667, 0.333, 0.286], [0.000, 0.000, 0.500], [0.333, 0.667, 0.159], [0.667, 0.333, 0.841], [0.831, 0.169, 0.688], [0.831, 0.661, 0.688], [0.339, 0.169, 0.688], [0.661, 0.831, 0.312], [0.169, 0.339, 0.312], [0.169, 0.831, 0.312], [0.500, 0.000, 0.000], [0.000, 0.500, 0.000], [0.500, 0.500, 0.000]]}


{"formula": "Pu3Sb", "functional": "PBE", "state": "optimized geometry", "total_magnetization_mub_per_fu": 18.12, "raw_formation_energy_mev_per_atom": -320.5, "vol_a3_per_cell": 105.1, "crystal_system": "cubic", "spacegroup": "No. 221", "relative_energy_ev_per_atom": 0.000, "lattice_angstrom": [[-1.682, 1.116, 4.266], [-1.317, -4.484, 0.654], [4.208, -0.957, 1.910]], "species": ["Sb", "Pu", "Pu", "Pu"], "fractional_positions": [[0.000, 0.000, 0.000], [0.000, 0.500, 0.500], [0.500, 0.000, 0.500], [0.500, 0.500, 0.000]]}


{"formula": "LiNpFe2", "functional": "PBE", "state": "optimized geometry", "total_magnetization_mub_per_fu": 0.51, "vol_a3_per_cell": 54.9, "e_form_ev_per_atom": 0.18, "crystal_system": "tetragonal", "spacegroup": "No. 123", "lattice_angstrom": [[-3.169, 0.168, -1.449], [-1.421, -2.385, 2.831], [-0.855, 3.162, 2.235]], "species": ["Np", "Fe", "Fe", "Li"], "fractional_positions": [[0.500, 0.000, 0.000], [0.000, 0.000, 0.500], [0.000, 0.500, 0.000], [0.500, 0.500, 0.500]]}


{"formula": "CuSiW", "functional": "PBE", "state": "optimized geometry", "total_magnetization_mub_per_fu": 0.00, "raw_formation_energy_mev_per_atom": 330.2, "vol_a3_per_cell": 41.8, "crystal_system": "tetragonal", "spacegroup": "No. 107", "relative_energy_ev_per_atom": 0.223, "lattice_angstrom": [[-4.840, -3.557, 0.633], [-1.777, -5.772, 0.096], [3.597, 4.607, 1.522]], "species": ["Cu", "Si", "W"], "fractional_positions": [[0.992, 0.992, 0.000], [0.338, 0.338, 0.000], [0.669, 0.669, 0.000]]}